Entry 1:
Compound: SmHoGa
Source: Alexandria via LeMat-Bulk
Functional: PBE
Structure: optimized geometry

The structure in POSCAR format:
```
SmHoGa
1.0
3.6934 0.0008 -0.0004
-0.0012 5.2275 0.2588
-1.8436 -0.4161 8.2418
Ga Ho Sm
2 2 2
direct
0.5096 0.5239 0.7057
0.3504 0.0274 0.3873
0.7074 0.0255 0.1010
0.1528 0.5250 0.9921
0.0066 0.0243 0.6993
0.8536 0.5265 0.3937
```

energy relative to the lowest polymorph listed for this composition: 16 meV/atom
E: -4.495 eV per atom
DOS at the Fermi energy: 2.515 states/eV/f.u.
ΔE_f: -387 meV per atom
spin magnetization: 0.00 μB/cell


Entry 2:
Compound: SmY2Ho3Bi6
Source: Alexandria via LeMat-Bulk
Functional: PBE
Structure: optimized geometry

The structure in POSCAR format:
```
SmY2Ho3Bi6
1.0
4.4849 0.0000 0.0000
0.0000 8.9638 0.3254
-2.2424 -2.5765 9.4266
Bi Ho Y Sm
6 3 2 1
direct
0.0000 0.2546 0.0000
0.3338 0.4160 0.6676
0.6685 0.0829 0.3370
0.0000 0.7454 0.0000
0.3315 0.9171 0.6630
0.6662 0.5840 0.3324
0.1660 0.8326 0.3320
0.5000 0.5000 0.0000
0.8340 0.1674 0.6680
0.8330 0.6666 0.6659
0.1670 0.3334 0.3341
0.5000 0.0000 0.0000
```

E: -5.426 eV per atom
DOS at the Fermi energy: 2.013 states/eV/f.u.
ΔE_f: -871 meV per atom
spin magnetization: 0.00 μB/cell


Entry 3:
Compound: AlAgBr2
Source: Alexandria via LeMat-Bulk
Functional: PBE
Structure: optimized geometry

The structure in POSCAR format:
```
AlAgBr2
1.0
6.3615 0.0784 -0.0784
1.6274 6.4706 -0.1390
-2.7050 -5.0615 3.4217
Al Ag Br
1 1 2
direct
0.8441 0.5022 0.8399
0.5094 0.2772 0.7358
0.2495 0.5662 0.1812
0.8970 0.1544 0.2431
```

energy relative to the lowest polymorph listed for this composition: 0 meV/atom
E: -2.967 eV per atom
DOS at the Fermi energy: 0.000 states/eV/f.u.
formation energy from raw total energies: -482 meV/atom
spin magnetization: 0.00 μB/cell


Entry 4:
Compound: TaTc2Ag
Source: Alexandria via LeMat-Bulk
Functional: PBE
Structure: optimized geometry

The structure in POSCAR format:
```
TaTc2Ag
1.0
2.6904 0.0000 0.0000
0.0000 2.6904 0.0000
0.0000 0.0000 9.0023
Ag Tc Ta
1 2 1
direct
0.5000 0.5000 0.2500
0.0000 0.0000 0.5023
0.0000 0.0000 0.9977
0.5000 0.5000 0.7500
```

energy relative to the lowest polymorph listed for this composition: 172 meV/atom
E: -8.512 eV per atom
DOS at the Fermi energy: 4.144 states/eV/f.u.
ΔE_f: 347 meV per atom
spin magnetization: 0.00 μB/cell


Entry 5:
Compound: SiHg2Rh
Source: Alexandria via LeMat-Bulk
Functional: PBE
Structure: optimized geometry

The structure in POSCAR format:
```
SiHg2Rh
1.0
-3.5792 -0.8153 2.9217
0.8365 -1.1453 4.4722
-0.9745 3.0543 3.4254
Hg Si Rh
2 1 1
direct
0.7500 0.7500 0.7500
0.0000 0.0000 0.0000
0.2500 0.2500 0.2500
0.5000 0.5000 0.5000
```

E: -2.950 eV per atom
DOS at the Fermi energy: 1.698 states/eV/f.u.
formation energy from raw total energies: 394 meV/atom
spin magnetization: 0.00 μB/cell